[1]
First-principles (GGA-PBE) data for crystalline Pr9Tl2Cd at its relaxed geometry, as listed in the Alexandria database.

Results
Its space group is P4/mmm (123). Its magnetic moment is 0.004 μB/cell.

Cell: 5.0340 5.0340 15.0344 Å, 90.00 90.00 90.00°
Fractional coordinates of all 12 atoms:
1 Pr 0.0000 0.0000 0.0000
2 Pr 0.0000 0.0000 0.3313
3 Pr 0.0000 0.0000 0.6687
4 Pr 0.0000 0.5000 0.1658
5 Pr 0.0000 0.5000 0.5000
6 Pr 0.0000 0.5000 0.8342
7 Pr 0.5000 0.0000 0.1658
8 Pr 0.5000 0.0000 0.5000
9 Pr 0.5000 0.0000 0.8342
10 Tl 0.5000 0.5000 0.3329
11 Tl 0.5000 0.5000 0.6671
12 Cd 0.5000 0.5000 0.0000

---

[2]
First-principles (GGA-PBE) data for crystalline Pr2Tl8Cd at its relaxed geometry, as listed in the Alexandria database.

Results
Its space group is P4/mmm (123). Its magnetic moment is 0.000 μB/cell.

Cell: 5.0728 5.0728 12.4656 Å, 90.00 90.00 90.00°
Fractional coordinates of all 11 atoms:
1 Pr 0.0000 0.0000 0.1854
2 Pr 0.0000 0.0000 0.8146
3 Tl 0.0000 0.5000 0.0000
4 Tl 0.0000 0.5000 0.3639
5 Tl 0.0000 0.5000 0.6361
6 Tl 0.5000 0.0000 0.0000
7 Tl 0.5000 0.0000 0.3639
8 Tl 0.5000 0.0000 0.6361
9 Tl 0.5000 0.5000 0.1833
10 Tl 0.5000 0.5000 0.8167
11 Cd 0.0000 0.0000 0.5000

---

[3]
First-principles (GGA-PBE) data for crystalline Pr4Tl3Cd at its relaxed geometry, as listed in the Alexandria database.

Results
Its space group is P4/mmm (123). Its magnetic moment is 0.002 μB/cell. The value obtained for the polymorph energy (0 for the lowest one) is 0 meV per atom.

Cell: 3.8341 3.8341 16.4122 Å, 90.00 90.00 90.00°
Fractional coordinates of all 8 atoms:
1 Pr 0.0000 0.0000 0.1196
2 Pr 0.0000 0.0000 0.3726
3 Pr 0.0000 0.0000 0.6274
4 Pr 0.0000 0.0000 0.8804
5 Tl 0.5000 0.5000 0.2437
6 Tl 0.5000 0.5000 0.5000
7 Tl 0.5000 0.5000 0.7563
8 Cd 0.5000 0.5000 0.0000

---

[4]
First-principles (GGA-PBE) data for crystalline Pr2TlCd at its relaxed geometry, as listed in the Alexandria database.

Results
Its space group is R-3m (166). Its magnetic moment is 0.000 μB/cell. The value obtained for the polymorph energy (0 for the lowest one) is 175 meV per atom.

Cell: 10.2341 10.2341 10.2341 Å, 21.77 21.77 21.77°
Fractional coordinates of all 4 atoms:
1 Pr 0.2502 0.2502 0.2502
2 Pr 0.7498 0.7498 0.7498
3 Tl 0.5000 0.5000 0.5000
4 Cd 0.0000 0.0000 0.0000

---

[5]
First-principles (GGA-PBE) data for crystalline Pr2Tl2Cd3 at its relaxed geometry, as listed in the Alexandria database.

Results
Its space group is Cmmm (65). Its magnetic moment is 0.000 μB/cell.

Cell: 12.0198 12.0198 3.4259 Å, 90.00 90.00 157.00°
Fractional coordinates of all 7 atoms:
1 Pr 0.1449 0.8551 0.0000
2 Pr 0.8551 0.1449 0.0000
3 Tl 0.2894 0.7106 0.5000
4 Tl 0.7106 0.2894 0.5000
5 Cd 0.0000 0.0000 0.0000
6 Cd 0.4350 0.5650 0.5000
7 Cd 0.5650 0.4350 0.5000

---

[6]
First-principles (GGA-PBE) data for crystalline Pr6TlCd5 at its relaxed geometry, as listed in the Alexandria database.

Results
Its space group is C2/m (12). Its magnetic moment is 0.000 μB/cell. The value obtained for the polymorph energy (0 for the lowest one) is 177 meV per atom.

Cell: 6.5661 6.5661 10.3663 Å, 95.95 95.95 120.74°
Fractional coordinates of all 12 atoms:
1 Pr 0.0646 0.4085 0.7375
2 Pr 0.2179 0.2179 0.2274
3 Pr 0.4085 0.0646 0.7375
4 Pr 0.5915 0.9354 0.2625
5 Pr 0.7821 0.7821 0.7726
6 Pr 0.9354 0.5915 0.2625
7 Tl 0.5000 0.5000 0.0000
8 Cd 0.0000 0.0000 0.5000
9 Cd 0.1970 0.8030 0.0000
10 Cd 0.3646 0.6354 0.5000
11 Cd 0.6354 0.3646 0.5000
12 Cd 0.8030 0.1970 0.0000

---

Number 1: DFT formation energy -2.1 eV/f.u., DFT total energy -4.2341 eV per atom. Number 2: DFT formation energy -2.0 eV/f.u., DFT total energy -2.8570 eV per atom. Number 3: DFT formation energy -3.0 eV/f.u., DFT total energy -3.7666 eV per atom. Number 4: DFT formation energy -0.8 eV/f.u., DFT total energy -3.3978 eV per atom. Number 5: DFT formation energy -1.3 eV/f.u., DFT total energy -2.6133 eV per atom. Number 6: DFT formation energy -1.8 eV/f.u., DFT total energy -3.1199 eV per atom.